[1]
## MgAg (PBE)

Data for a relaxed MgAg crystal.

a = 4.016 Å, b = 4.016 Å, c = 4.016 Å
α = 136.66°, β = 105.27°, γ = 90.53°
Positions (direct):
Mg  0.000  0.000  0.000
Ag  0.500  0.500  0.000

Output
The value obtained for the formation energy is 0.00 eV/atom. The total moment is 0.0 μB per cell. The symmetry is No. 71.

***

[2]
## HfTiPt (PBE)

Data for a relaxed HfTiPt crystal.

a = 4.436 Å, b = 4.436 Å, c = 3.216 Å
α = 90.00°, β = 90.00°, γ = 120.00°
Positions (direct):
Hf  0.000  0.000  0.000
Ti  0.333  0.667  0.558
Pt  0.667  0.333  0.356

Output
The value obtained for the formation energy is -0.47 eV/atom. The total moment is 0.0 μB per cell. The symmetry is No. 156.

***

[3]
## PmNi2Sn2 (PBE)

Data for a relaxed PmNi2Sn2 crystal.

a = 4.464 Å, b = 4.407 Å, c = 10.183 Å
α = 90.00°, β = 91.74°, γ = 90.00°
Positions (direct):
Pm  0.233  0.250  0.239
Pm  0.767  0.750  0.761
Ni  0.199  0.750  0.000
Ni  0.258  0.250  0.630
Ni  0.742  0.750  0.370
Ni  0.801  0.250  0.000
Sn  0.250  0.750  0.499
Sn  0.286  0.250  0.876
Sn  0.714  0.750  0.124
Sn  0.750  0.250  0.501

Output
The value obtained for the formation energy is -0.53 eV/atom. The total moment is 0.0 μB per cell. The symmetry is No. 11.

***

no.,DFT total energy (eV per atom)
1,-2.23
2,-8.43
3,-5.40